A plane-wave DFT calculation with GGA-PBE was carried out for MgAs after structural relaxation.

Unit cell a=4.292 b=4.292 c=7.073 alpha=90.00 beta=90.00 gamma=120.00
Positions (direct):
Mg: 0.333 0.667 0.000
Mg: 0.667 0.333 0.500
As: 0.333 0.667 0.628
As: 0.667 0.333 0.128

Summary:
Energy of formation, kJ per mole of atoms: -3
Total magnetic moment, μB/f.u.: 0.00
Space-group type: P6_3mc (186)



A plane-wave DFT calculation with GGA-PBE was carried out for Tm2Al4CuPt3 after structural relaxation.

Unit cell a=4.092 b=4.092 c=10.793 alpha=90.00 beta=90.00 gamma=90.00
Positions (direct):
Tm: 0.000 0.500 0.249
Tm: 0.500 0.000 0.751
Al: 0.000 0.000 0.000
Al: 0.000 0.500 0.629
Al: 0.500 0.000 0.371
Al: 0.500 0.500 0.000
Cu: 0.000 0.000 0.500
Pt: 0.000 0.500 0.859
Pt: 0.500 0.000 0.141
Pt: 0.500 0.500 0.500

Summary:
Energy of formation, kJ per mole of atoms: -92
Total magnetic moment, μB/f.u.: 0.00
Space-group type: P-4m2 (115)



A plane-wave DFT calculation with GGA-PBE was carried out for PmTiGeAu after structural relaxation.

Unit cell a=4.935 b=4.935 c=4.935 alpha=60.00 beta=60.00 gamma=60.00
Positions (direct):
Pm: 0.000 0.000 0.000
Ti: 0.500 0.500 0.500
Ge: 0.750 0.750 0.750
Au: 0.250 0.250 0.250

Summary:
Energy of formation, kJ per mole of atoms: -43
Total magnetic moment, μB/f.u.: 2.00
Space-group type: F-43m (216)



A plane-wave DFT calculation with GGA-PBE was carried out for LaHfSn2Os after structural relaxation.

Unit cell a=5.690 b=5.690 c=4.806 alpha=90.00 beta=90.00 gamma=90.00
Positions (direct):
La: 0.000 0.000 0.000
Hf: 0.500 0.500 0.500
Sn: 0.000 0.500 0.000
Sn: 0.500 0.000 0.000
Os: 0.000 0.000 0.500

Summary:
Energy of formation, kJ per mole of atoms: 156
Total magnetic moment, μB/f.u.: 0.00
Space-group type: P4/mmm (123)



In the order shown, the computed N(E_F) values come out to 1.575 0.335 0.669 1.583 states/eV/atom.